Below is crystalline AlZnGa at its relaxed geometry, with properties calculated at the PBE-GGA level.

Lattice parameters (Å, degrees): 4.1425 4.3211 6.3742 106.80 74.06 102.91
Fractional positions:
Zn 0.4192 0.1036 0.5006
Zn 0.7924 0.1218 0.8230
Al 0.1380 0.1340 0.1678
Al 0.2136 0.6626 0.7561
Ga 0.8396 0.6504 0.4283
Ga 0.5726 0.6758 0.0792

Calculated values
Formation energy from the elements (eV per atom): 0.046
Symmetry: No. 1
Magnetization (μB per formula unit): 0.000